An optimized crystal structure of Ba3Ni2O6. Source: Alexandria via LeMat-Bulk, functional GGA+U.

**VASP energy**: -59.9 eV/cell
**DOS at the Fermi energy**: 7.001 states/eV/cell
**Space group**: I4/mmm, No. 139

Lattice parameters (Å, degrees): 4.0020 4.0020 11.2922 100.21 100.21 90.00
Closest atoms and distances in Å follow each position.
Element x y z (fractional)
O: 0.9127 0.4127 0.8254  2 Ni 2.03
O: 0.3059 0.3059 0.6118  1 Ni 1.97
O: 0.5873 0.0873 0.1746  2 Ni 2.03
O: 0.4127 0.9127 0.8254  2 Ni 2.03
O: 0.6941 0.6941 0.3882  1 Ni 1.97
O: 0.0873 0.5873 0.1746  2 Ni 2.03
Ba: 0.0000 0.0000 0.0000  8 O 2.77
Ba: 0.1814 0.1814 0.3627  9 O 2.72-2.87
Ba: 0.8186 0.8186 0.6373  9 O 2.72-2.87
Ni: 0.3959 0.3959 0.7919  5 O 1.97-2.03
Ni: 0.6041 0.6041 0.2081  5 O 1.97-2.03